No. 1
First-principles (PBE) data for a relaxed structure of TiNiW, as listed in Alexandria via LeMat-Bulk.

Calculated values
Energy relative to the elements   0.2600 eV per atom
Calculated volume   15.120 Å³ per atom
Size of the total moment   0.00 μB/cell

a b c (Å): 2.632 4.627 7.450
angles (deg): 90.00 90.00 90.00
Space group Pmmn (No. 59, origin choice 2)
Symmetry-distinct sites (fractional):
1 Ti 0.250 0.250 0.066
2 Ni 0.250 0.250 0.424
3 W 0.250 0.750 0.269

No. 2
First-principles (PBE) data for a relaxed structure of YTi2NiW, as listed in Alexandria via LeMat-Bulk.

Calculated values
Energy relative to the elements   1.8291 eV per atom
Calculated volume   19.574 Å³ per atom
Size of the total moment   0.00 μB/cell

a b c (Å): 4.736 4.736 4.364
angles (deg): 90.00 90.00 90.00
Space group P4/mmm (No. 123)
Symmetry-distinct sites (fractional):
1 Y 0.000 0.000 0.000
2 Ti 0.000 0.500 0.000
3 Ni 0.000 0.000 0.500
4 W 0.500 0.500 0.500

No. 3
First-principles (PBE) data for a relaxed structure of YTiNi, as listed in Alexandria via LeMat-Bulk.

Calculated values
Relative energy among the computed polymorphs   0.0000 eV/atom
Energy relative to the elements   -0.3112 eV per atom
Calculated volume   19.660 Å³ per atom
Size of the total moment   0.00 μB/cell

a b c (Å): 4.327 4.327 6.299
angles (deg): 90.00 90.00 90.00
Space group P4/nmm (No. 129, origin choice 2)
Symmetry-distinct sites (fractional):
1 Y 0.250 0.250 0.129
2 Ti 0.250 0.750 0.500
3 Ni 0.250 0.250 0.688

No. 4
First-principles (PBE) data for a relaxed structure of Y2Ti2Ni, as listed in Alexandria via LeMat-Bulk.

Calculated values
Energy relative to the elements   0.0702 eV per atom
Calculated volume   21.338 Å³ per atom
Size of the total moment   0.00 μB/cell

a b c (Å): 6.528 6.528 5.008
angles (deg): 90.00 90.00 90.00
Space group P4/mbm (No. 127)
Symmetry-distinct sites (fractional):
1 Y 0.170 0.330 0.000
2 Ti 0.148 0.648 0.500
3 Ni 0.000 0.000 0.500

No. 5
First-principles (PBE) data for a relaxed structure of YTi2Ni, as listed in Alexandria via LeMat-Bulk.

Calculated values
Energy relative to the elements   0.2751 eV per atom
Calculated volume   18.876 Å³ per atom
Size of the total moment   0.00 μB/cell

a b c (Å): 3.818 3.818 20.723
angles (deg): 90.00 90.00 90.00
Space group I-42d (No. 122)
Symmetry-distinct sites (fractional):
1 Y 0.000 0.000 0.000
2 Ti 0.229 0.750 0.625
3 Ni 0.000 0.000 0.500

No. 6
First-principles (PBE) data for a relaxed structure of YTi2Ni, as listed in Alexandria via LeMat-Bulk.

Calculated values
Energy relative to the elements   0.2769 eV per atom
Calculated volume   17.446 Å³ per atom
Size of the total moment   0.00 μB/cell

a b c (Å): 6.535 6.535 6.535
angles (deg): 90.00 90.00 90.00
Space group Fm-3m (No. 225)
Symmetry-distinct sites (fractional):
1 Y 0.000 0.000 0.000
2 Ti 0.250 0.250 0.250
3 Ni 0.000 0.000 0.500

Q: Look up the size of the total moment of the third one.
A: 0.00 μB/cell

Q: Which value of calculated volume does entry 1 give?
A: 15.120 Å³ per atom

Q: Which value of size of the total moment does entry 4 give?
A: 0.00 μB/cell